Record 1
Here is a relaxed structure of LaH2PtN from Alexandria via LeMat-Bulk. Energies are from PBE.

Crystal system: tetragonal
Size of the total moment, μB per cell: 0.00
E_tot, eV for the cell shown: -29.04

Cell: 3.659 3.659 4.424 Å, 90.00 90.00 90.00°
Fractional coordinates of all 5 atoms:
H: 0.000 0.500 0.000
H: 0.500 0.000 0.000
N: 0.000 0.000 0.500
Pt: 0.000 0.000 0.000
La: 0.500 0.500 0.500


Record 2
Here is a relaxed structure of Pr4Si3 from Alexandria via LeMat-Bulk. Energies are from PBE.

Crystal system: cubic
Formation energy without anion corrections, eV per atom: -0.6260
Size of the total moment, μB per cell: 0.00

Cell: 7.958 7.958 7.958 Å, 109.47 109.47 109.47°
Fractional coordinates of all 14 atoms:
Pr: 0.368 0.500 0.000
Pr: 0.500 0.368 0.500
Pr: 0.000 0.000 0.368
Pr: 0.632 0.132 0.132
Pr: 0.000 0.000 0.868
Pr: 0.132 0.632 0.632
Pr: 0.868 0.500 0.000
Pr: 0.500 0.868 0.500
Si: 0.125 0.375 0.250
Si: 0.625 0.750 0.875
Si: 0.875 0.250 0.625
Si: 0.250 0.875 0.125
Si: 0.750 0.625 0.375
Si: 0.375 0.125 0.750


Record 3
Here is a relaxed structure of Tb6TmTh4 from Alexandria via LeMat-Bulk. Energies are from PBE.

Crystal system: orthorhombic
Size of the total moment, μB per cell: 0.00
Energy relative to the elements, eV/atom: 0.163

Cell: 5.844 3.429 18.203 Å, 95.41 99.24 90.00°
Fractional coordinates of all 11 atoms:
Tb: 0.733 0.233 0.465
Tb: 0.905 0.405 0.810
Tb: 0.095 0.595 0.190
Tb: 0.631 0.131 0.262
Tb: 0.369 0.869 0.738
Tb: 0.267 0.767 0.535
Tm: 0.000 0.000 0.000
Th: 0.457 0.457 0.913
Th: 0.182 0.182 0.364
Th: 0.818 0.818 0.636
Th: 0.543 0.543 0.087